## TlHgSb2 (PBE)

Data for a relaxed TlHgSb2 crystal.

```
TlHgSb2
1.0
5.2481 0.0000 0.0000
0.0000 5.2481 0.0000
0.0000 0.0000 8.1859
Tl Hg Sb
2 2 4
Cartesian
0.0000 0.0000 0.0000 Tl
2.6240 2.6240 4.0929 Tl
0.0000 2.6240 6.1394 Hg
2.6240 0.0000 2.0465 Hg
0.0000 0.0000 4.0929 Sb
0.0000 2.6240 2.0465 Sb
2.6240 0.0000 6.1394 Sb
2.6240 2.6240 0.0000 Sb
```

Output
Calculated total energy   -2.600 eV per atom
Density   9.55 Mg/m³
E_form (uncorrected)   2.96 kcal/mol of atoms
Polymorph energy (0 for the lowest one)   89 meV per atom